# 1
This record from Alexandria describes a geometry-optimized La6HoHg5 structure. The functional is PBE.

The formation energy comes out at -374 meV/atom. The value obtained for the volume is 30.4 A^3/atom.

It has space group P2/m (No. 10), with a = 5.475 Å, b = 7.908 Å, c = 8.868 Å, α = 90.00°, β = 107.91° and γ = 90.00°. Symmetry generates all atoms from La at (0.000, 0.226, 0.000), La at (0.327, 0.254, 0.653), Ho at (0.500, 0.500, 0.000), Hg at (0.147, 0.500, 0.295), Hg at (0.167, 0.000, 0.336) and Hg at (0.500, 0.000, 0.000).


# 2
This record from Alexandria describes a geometry-optimized Ba2SrTl structure. The functional is PBE.

The formation energy comes out at -162 meV/atom. As for the relative energy among the computed polymorphs: 59.0 meV per atom. The value obtained for the volume is 48.0 A^3/atom.

It has space group Immm (No. 71), with a = 4.386 Å, b = 6.340 Å, c = 13.798 Å, α = 90.00°, β = 90.00° and γ = 90.00°. Symmetry generates all atoms from Ba at (0.000, 0.000, 0.202), Sr at (0.000, 0.500, 0.000) and Tl at (0.000, 0.500, 0.500).


| no. | raw total energy (eV per atom) |
| --- | --- |
| 1 | -3.345 |
| 2 | -2.135 |